Record 1
Entry from Alexandria via LeMat-Bulk: an optimized crystal structure of ErHgPb3 (PBE).

a b c (Å): 3.6636 9.4718 9.0674
angles (deg): 90.00 95.26 90.00
Fractional positions:
Er1 0.0043 0.2500 0.0065
Er2 0.9957 0.7500 0.9935
Hg1 0.1821 0.2500 0.3560
Hg2 0.8179 0.7500 0.6440
Pb1 0.3001 0.7500 0.3570
Pb2 0.3997 0.5061 0.8220
Pb3 0.3997 0.9939 0.8220
Pb4 0.6003 0.0061 0.1780
Pb5 0.6003 0.4939 0.1780
Pb6 0.6999 0.2500 0.6430

For the volume, the calculation gives 313.3 Å³/cell. The polymorph energy (0 for the lowest one) is 40 meV per atom. The space-group type is P2_1/m, No. 11. For the formation enthalpy at 0 K, the calculation gives -0.108 eV per atom. The value obtained for the total energy is -3.31 eV/atom.

=====

Record 2
Entry from Alexandria via LeMat-Bulk: an optimized crystal structure of Tl2P2WN6 (PBE).

a b c (Å): 7.1348 7.1348 7.1348
angles (deg): 45.84 45.84 45.84
Fractional positions:
Tl1 0.2073 0.2073 0.2073
Tl2 0.7927 0.7927 0.7927
P1 0.3923 0.3923 0.3923
P2 0.6077 0.6077 0.6077
W1 0.0000 0.0000 0.0000
N1 0.2322 0.2322 0.7226
N2 0.2322 0.7226 0.2322
N3 0.2774 0.7678 0.7678
N4 0.7226 0.2322 0.2322
N5 0.7678 0.2774 0.7678
N6 0.7678 0.7678 0.2774

For the volume, the calculation gives 170.4 Å³/cell. The space-group type is R-3m, No. 166. The value obtained for the total energy is -7.08 eV/atom. The energy relative to the elements, uncorrected comes out at 0.056 eV/atom.

=====

Record 3
Entry from Alexandria via LeMat-Bulk: an optimized crystal structure of K4Rb9Na2 (PBE).

a b c (Å): 7.5489 7.5489 23.5007
angles (deg): 90.00 90.00 120.00
Fractional positions:
K1 0.3333 0.6667 0.1778
K2 0.3333 0.6667 0.3678
K3 0.6667 0.3333 0.6322
K4 0.6667 0.3333 0.8222
Rb1 0.0000 0.0000 0.1040
Rb2 0.0000 0.0000 0.2936
Rb3 0.0000 0.0000 0.5000
Rb4 0.0000 0.0000 0.7064
Rb5 0.0000 0.0000 0.8960
Rb6 0.3333 0.6667 0.5786
Rb7 0.3333 0.6667 0.9595
Rb8 0.6667 0.3333 0.0405
Rb9 0.6667 0.3333 0.4214
Na1 0.3333 0.6667 0.7709
Na2 0.6667 0.3333 0.2291

For the volume, the calculation gives 1159.8 Å³/cell. The space-group type is P-3m1, No. 164. For the formation enthalpy at 0 K, the calculation gives 0.026 eV per atom. The value obtained for the total energy is -1.02 eV/atom.

=====

Record 4
Entry from Alexandria via LeMat-Bulk: an optimized crystal structure of Ca3SnH2 (PBE).

a b c (Å): 7.1869 7.1869 5.2590
angles (deg): 90.00 90.00 104.26
Fractional positions:
Ca1 0.1100 0.8900 0.7500
Ca2 0.1860 0.4079 0.7500
Ca3 0.4079 0.1860 0.2500
Ca4 0.5921 0.8140 0.7500
Ca5 0.8140 0.5921 0.2500
Ca6 0.8900 0.1100 0.2500
Sn1 0.3080 0.6920 0.2500
Sn2 0.6920 0.3080 0.7500
H1 0.1515 0.1515 0.0000
H2 0.1515 0.1515 0.5000
H3 0.8485 0.8485 0.0000
H4 0.8485 0.8485 0.5000

For the volume, the calculation gives 263.3 Å³/cell. The space-group type is Cmcm, No. 63. The value obtained for the total energy is -3.43 eV/atom.

=====

Record 5
Entry from Alexandria via LeMat-Bulk: an optimized crystal structure of TaAu4Br (PBE).

a b c (Å): 5.5478 5.5478 5.5478
angles (deg): 60.00 60.00 60.00
Fractional positions:
Ta1 0.0000 0.0000 0.0000
Au1 0.1250 0.6250 0.6250
Au2 0.6250 0.1250 0.6250
Au3 0.6250 0.6250 0.1250
Au4 0.6250 0.6250 0.6250
Br1 0.2500 0.2500 0.2500

For the volume, the calculation gives 120.7 Å³/cell. The space-group type is F-43m, No. 216. The value obtained for the total energy is -3.87 eV/atom. The energy relative to the elements, uncorrected comes out at 0.570 eV/atom.

=====

Record 6
Entry from Alexandria via LeMat-Bulk: an optimized crystal structure of PmHo2Er3Se6 (PBE).

a b c (Å): 7.0423 7.0423 7.0753
angles (deg): 99.50 99.50 120.29
Fractional positions:
Pm1 0.0000 0.0000 0.0000
Ho1 0.3346 0.6654 0.0000
Ho2 0.6654 0.3346 0.0000
Er1 0.1602 0.8398 0.5000
Er2 0.5000 0.5000 0.5000
Er3 0.8398 0.1602 0.5000
Se1 0.0854 0.4281 0.2576
Se2 0.2574 0.2574 0.7471
Se3 0.4281 0.0854 0.2576
Se4 0.5719 0.9146 0.7424
Se5 0.7426 0.7426 0.2529
Se6 0.9146 0.5719 0.7424

For the volume, the calculation gives 285.9 Å³/cell. The space-group type is C2/m, No. 12. The value obtained for the total energy is -5.77 eV/atom. The energy relative to the elements, uncorrected comes out at -1.728 eV/atom.

=====

Record 7
Entry from Alexandria via LeMat-Bulk: an optimized crystal structure of NbNi3Sb (PBE).

a b c (Å): 4.5321 4.5321 4.5321
angles (deg): 90.00 90.00 90.00
Fractional positions:
Nb1 0.0000 0.0000 0.0000
Ni1 0.0000 0.5000 0.5000
Ni2 0.5000 0.0000 0.5000
Ni3 0.5000 0.5000 0.0000
Sb1 0.5000 0.5000 0.5000

For the volume, the calculation gives 93.1 Å³/cell. The polymorph energy (0 for the lowest one) is 0 meV per atom. The space-group type is Pm-3m, No. 221. The value obtained for the total energy is -5.30 eV/atom. The energy relative to the elements, uncorrected comes out at 1.008 eV/atom.

=====

Record 8
Entry from Alexandria via LeMat-Bulk: an optimized crystal structure of NdDyPdPb (PBE).

a b c (Å): 7.4891 7.4891 7.4891
angles (deg): 90.00 90.00 90.00
Fractional positions:
Nd1 0.0000 0.0000 0.0000
Nd2 0.0000 0.5000 0.5000
Nd3 0.5000 0.0000 0.5000
Nd4 0.5000 0.5000 0.0000
Dy1 0.0000 0.0000 0.5000
Dy2 0.0000 0.5000 0.0000
Dy3 0.5000 0.0000 0.0000
Dy4 0.5000 0.5000 0.5000
Pd1 0.2500 0.2500 0.2500
Pd2 0.2500 0.7500 0.7500
Pd3 0.7500 0.2500 0.7500
Pd4 0.7500 0.7500 0.2500
Pb1 0.2500 0.2500 0.7500
Pb2 0.2500 0.7500 0.2500
Pb3 0.7500 0.2500 0.2500
Pb4 0.7500 0.7500 0.7500

For the volume, the calculation gives 420.0 Å³/cell. The space-group type is F-43m, No. 216. For the formation enthalpy at 0 K, the calculation gives -0.590 eV per atom. The value obtained for the total energy is -5.16 eV/atom.

=====

Record 9
Entry from Alexandria via LeMat-Bulk: an optimized crystal structure of SiMo2Au (PBE).

a b c (Å): 3.2542 4.4237 8.5529
angles (deg): 90.00 90.00 90.00
Fractional positions:
Si1 0.0000 0.0000 0.0000
Si2 0.5000 0.5000 0.5000
Mo1 0.0000 0.0000 0.4988
Mo2 0.0000 0.5000 0.2718
Mo3 0.5000 0.0000 0.7718
Mo4 0.5000 0.5000 0.9988
Au1 0.0000 0.5000 0.7247
Au2 0.5000 0.0000 0.2247

For the volume, the calculation gives 123.1 Å³/cell. The space-group type is Imm2, No. 44. The value obtained for the total energy is -7.54 eV/atom. The energy relative to the elements, uncorrected comes out at 0.055 eV/atom.

=====

Record 10
Entry from Alexandria via LeMat-Bulk: an optimized crystal structure of LiAgPb (PBE).

a b c (Å): 3.6398 3.6398 9.3509
angles (deg): 90.00 90.00 90.00
Fractional positions:
Li1 0.0000 0.0000 0.0000
Li2 0.5000 0.5000 0.5000
Ag1 0.0000 0.0000 0.6402
Ag2 0.5000 0.5000 0.1402
Pb1 0.0000 0.0000 0.3193
Pb2 0.5000 0.5000 0.8193

For the volume, the calculation gives 123.9 Å³/cell. The polymorph energy (0 for the lowest one) is 2 meV per atom. The space-group type is I4mm, No. 107. For the formation enthalpy at 0 K, the calculation gives -0.148 eV per atom. The value obtained for the total energy is -2.97 eV/atom.

=====

Record 11
Entry from Alexandria via LeMat-Bulk: an optimized crystal structure of TaAl3Ni (PBE).

a b c (Å): 4.9650 4.9650 4.9650
angles (deg): 90.00 90.00 90.00
Fractional positions:
Ta1 0.0000 0.0000 0.0000
Al1 0.0000 0.0000 0.5000
Al2 0.0000 0.5000 0.0000
Al3 0.5000 0.0000 0.0000
Ni1 0.5000 0.5000 0.5000

For the volume, the calculation gives 122.4 Å³/cell. The polymorph energy (0 for the lowest one) is 968 meV per atom. The space-group type is Pm-3m, No. 221. For the formation enthalpy at 0 K, the calculation gives 1.306 eV per atom. The value obtained for the total energy is -4.47 eV/atom.

=====

Record 12
Entry from Alexandria via LeMat-Bulk: an optimized crystal structure of Cs2Tl5Au3 (PBE).

a b c (Å): 5.0959 5.0959 12.7792
angles (deg): 90.00 90.00 90.00
Fractional positions:
Cs1 0.0000 0.5000 0.2235
Cs2 0.5000 0.0000 0.7765
Tl1 0.0000 0.0000 0.5000
Tl2 0.0000 0.5000 0.6560
Tl3 0.5000 0.0000 0.3440
Tl4 0.5000 0.5000 0.0000
Tl5 0.5000 0.5000 0.5000
Au1 0.0000 0.0000 0.0000
Au2 0.0000 0.5000 0.8829
Au3 0.5000 0.0000 0.1171

For the volume, the calculation gives 331.9 Å³/cell. The polymorph energy (0 for the lowest one) is 36 meV per atom. The space-group type is P-4m2, No. 115. For the formation enthalpy at 0 K, the calculation gives -0.103 eV per atom. The value obtained for the total energy is -2.44 eV/atom.